(1)
Compound: NiAgSb2
Source: Alexandria
Functional: PBE-GGA
Structure: relaxed

Computed properties:
The calculation puts the energy relative to the elements, uncorrected at 0.26 eV per formula unit. For the electronic total energy, the calculation gives -16.6 eV for the cell shown. The value obtained for the energy above the lowest structure with this stoichiometry is 53 meV per atom.

Lattice parameters (Å, degrees): 4.069 3.297 6.506 90.00 108.01 90.00
Fractional positions:
Ni  0.000  0.000  0.000
Ag  0.183  0.500  0.363
Sb  0.497  0.500  0.991
Sb  0.794  0.000  0.588

(2)
Compound: NiAgSb2
Source: Alexandria
Functional: PBE-GGA
Structure: relaxed

Computed properties:
The calculation puts the energy relative to the elements, uncorrected at 1.05 eV per formula unit. For the electronic total energy, the calculation gives -15.8 eV for the cell shown. The value obtained for the energy above the lowest structure with this stoichiometry is 250 meV per atom.

Lattice parameters (Å, degrees): 5.631 5.631 5.631 137.29 137.29 61.99
Fractional positions:
Ni  0.000  0.000  0.000
Ag  0.750  0.250  0.500
Sb  0.250  0.750  0.500
Sb  0.500  0.500  0.000